{"formula": "MnMoPbF6", "functional": "PBE with a Hubbard U", "state": "optimized geometry", "spacegroup": "No. 163", "dos_at_fermi_per_ev_atom": 0.278, "dft_energy_ev_per_atom": -5.524, "magnetic_moment_mub_per_cell": 17.6, "lattice": [[5.7914, 0.0000, 0.0000], [-2.8957, 5.0155, 0.0000], [0.0000, 0.0000, 11.1930]], "species": ["F", "F", "Mo", "Mn", "F", "Pb", "F", "Mn", "F", "F", "F", "F", "F", "Pb", "Mo", "F", "F", "F"], "frac_coords": [[0.6365, 0.9934, 0.8482], [0.3635, 0.0066, 0.1518], [0.3333, 0.6667, 0.7500], [0.3333, 0.6667, 0.2500], [0.3569, 0.3635, 0.8482], [0.0000, 0.0000, 0.5000], [0.0066, 0.6431, 0.8482], [0.6667, 0.3333, 0.7500], [0.6431, 0.0066, 0.3482], [0.3635, 0.3569, 0.3482], [0.6365, 0.6431, 0.6518], [0.9934, 0.6365, 0.3482], [0.0066, 0.3635, 0.6518], [0.0000, 0.0000, 0.0000], [0.6667, 0.3333, 0.2500], [0.6431, 0.6365, 0.1518], [0.9934, 0.3569, 0.1518], [0.3569, 0.9934, 0.6518]]}